# 1
Material: Na2HfRh
Method: DFT, PBE
State: optimized geometry

ΔE_f, eV/f.u.: 3.39
Volume, A^3/atom: 19.54
Polymorph energy (0 for the lowest one), meV/atom: 219
Spin magnetization, μB/f.u.: 0.0

a = 6.7875 Å, b = 6.7875 Å, c = 6.7875 Å
α = 90.00°, β = 90.00°, γ = 90.00°
Atoms (fractional coordinates):
Na 0.2500 0.2500 0.2500
Na 0.2500 0.2500 0.7500
Na 0.2500 0.7500 0.2500
Na 0.2500 0.7500 0.7500
Na 0.7500 0.2500 0.2500
Na 0.7500 0.2500 0.7500
Na 0.7500 0.7500 0.2500
Na 0.7500 0.7500 0.7500
Hf 0.0000 0.0000 0.0000
Hf 0.0000 0.5000 0.5000
Hf 0.5000 0.0000 0.5000
Hf 0.5000 0.5000 0.0000
Rh 0.0000 0.0000 0.5000
Rh 0.0000 0.5000 0.0000
Rh 0.5000 0.0000 0.0000
Rh 0.5000 0.5000 0.5000

---

# 2
Material: NaHfRh2
Method: DFT, PBE
State: optimized geometry

ΔE_f, eV/f.u.: -1.84
Volume, A^3/atom: 17.98
Spin magnetization, μB/f.u.: 0.0

a = 3.2115 Å, b = 3.2115 Å, c = 6.9729 Å
α = 90.00°, β = 90.00°, γ = 90.00°
Atoms (fractional coordinates):
Na 0.0000 0.0000 0.0000
Hf 0.0000 0.0000 0.5000
Rh 0.5000 0.5000 0.2837
Rh 0.5000 0.5000 0.7163

---

# 3
Material: NaHf2Rh2
Method: DFT, PBE
State: optimized geometry

ΔE_f, eV/f.u.: -0.41
Volume, A^3/atom: 22.67
Polymorph energy (0 for the lowest one), meV/atom: 424
Spin magnetization, μB/f.u.: 0.0

a = 4.1581 Å, b = 4.1581 Å, c = 13.1111 Å
α = 90.00°, β = 90.00°, γ = 90.00°
Atoms (fractional coordinates):
Na 0.0000 0.0000 0.0000
Na 0.5000 0.5000 0.5000
Hf 0.0000 0.0000 0.3676
Hf 0.0000 0.0000 0.6324
Hf 0.5000 0.5000 0.1324
Hf 0.5000 0.5000 0.8676
Rh 0.0000 0.5000 0.2500
Rh 0.0000 0.5000 0.7500
Rh 0.5000 0.0000 0.2500
Rh 0.5000 0.0000 0.7500

---

Quick rundown of E, same order as above: -66.2; -27.8; -72.7 eV/cell